1.
A plane-wave DFT calculation with PBE was carried out for RbWSe2N after structural relaxation.

Cell lengths 5.4393, 5.4393, 3.9916 Å; angles 90.00, 90.00, 90.00 degrees
Positions (direct):
1 Rb 0.0000 0.0000 0.0000
2 W 0.5000 0.5000 0.5000
3 Se 0.0000 0.5000 0.0000
4 Se 0.5000 0.0000 0.0000
5 N 0.0000 0.0000 0.5000

Crystal system ... tetragonal
Polymorph energy (0 for the lowest one) ... 3.073 eV per atom

2.
A plane-wave DFT calculation with PBE was carried out for RbYSe2N after structural relaxation.

Cell lengths 5.6243, 5.6243, 4.7513 Å; angles 90.00, 90.00, 90.00 degrees
Positions (direct):
1 Rb 0.0000 0.0000 0.0000
2 Y 0.5000 0.5000 0.5000
3 Se 0.0000 0.5000 0.5000
4 Se 0.5000 0.0000 0.5000
5 N 0.5000 0.5000 0.0000

Crystal system ... tetragonal
Polymorph energy (0 for the lowest one) ... 0.000 eV per atom

3.
A plane-wave DFT calculation with PBE was carried out for RbYSe2N after structural relaxation.

Cell lengths 5.6610, 5.6610, 4.4023 Å; angles 90.00, 90.00, 90.00 degrees
Positions (direct):
1 Rb 0.0000 0.0000 0.0000
2 Y 0.5000 0.5000 0.5000
3 Se 0.0000 0.5000 0.0000
4 Se 0.5000 0.0000 0.0000
5 N 0.0000 0.0000 0.5000

Crystal system ... tetragonal
Polymorph energy (0 for the lowest one) ... 1.397 eV per atom

4.
A plane-wave DFT calculation with PBE was carried out for RbZnSe2N after structural relaxation.

Cell lengths 5.9021, 5.9021, 3.6244 Å; angles 90.00, 90.00, 90.00 degrees
Positions (direct):
1 Rb 0.0000 0.0000 0.0000
2 Zn 0.5000 0.5000 0.5000
3 Se 0.0000 0.5000 0.5000
4 Se 0.5000 0.0000 0.5000
5 N 0.5000 0.5000 0.0000

Crystal system ... tetragonal
Polymorph energy (0 for the lowest one) ... 0.000 eV per atom

5.
A plane-wave DFT calculation with PBE was carried out for RbZnSe2N after structural relaxation.

Cell lengths 6.6452, 6.6452, 5.5851 Å; angles 90.00, 90.00, 90.00 degrees
Positions (direct):
1 Rb 0.0000 0.0000 0.0000
2 Zn 0.5000 0.5000 0.5000
3 Se 0.0000 0.5000 0.0000
4 Se 0.5000 0.0000 0.0000
5 N 0.0000 0.0000 0.5000

Crystal system ... tetragonal
Polymorph energy (0 for the lowest one) ... 1.137 eV per atom

6.
A plane-wave DFT calculation with PBE was carried out for RbZnSeN2 after structural relaxation.

Cell lengths 4.5491, 4.5491, 5.0972 Å; angles 90.00, 90.00, 90.00 degrees
Positions (direct):
1 Rb 0.0000 0.0000 0.0000
2 Zn 0.5000 0.5000 0.5000
3 Se 0.5000 0.5000 0.0000
4 N 0.0000 0.5000 0.5000
5 N 0.5000 0.0000 0.5000

Crystal system ... tetragonal
Polymorph energy (0 for the lowest one) ... 0.000 eV per atom

7.
A plane-wave DFT calculation with PBE was carried out for RbZnSeN2 after structural relaxation.

Cell lengths 5.2256, 5.2256, 6.8277 Å; angles 90.00, 90.00, 90.00 degrees
Positions (direct):
1 Rb 0.0000 0.0000 0.0000
2 Zn 0.5000 0.5000 0.5000
3 Se 0.0000 0.0000 0.5000
4 N 0.0000 0.5000 0.0000
5 N 0.5000 0.0000 0.0000

Crystal system ... tetragonal
Polymorph energy (0 for the lowest one) ... 0.994 eV per atom

8.
A plane-wave DFT calculation with PBE was carried out for RbZnSe2N after structural relaxation.

Cell lengths 4.8593, 4.8593, 6.8559 Å; angles 90.00, 90.00, 90.00 degrees
Positions (direct):
1 Rb 0.0000 0.0000 0.0000
2 Zn 0.0000 0.0000 0.5000
3 Se 0.0000 0.5000 0.5000
4 Se 0.5000 0.0000 0.5000
5 N 0.5000 0.5000 0.0000

Crystal system ... tetragonal
Polymorph energy (0 for the lowest one) ... 0.303 eV per atom

9.
A plane-wave DFT calculation with PBE was carried out for RbZrSeN2 after structural relaxation.

Cell lengths 4.4962, 4.4962, 5.3599 Å; angles 90.00, 90.00, 90.00 degrees
Positions (direct):
1 Rb 0.0000 0.0000 0.0000
2 Zr 0.5000 0.5000 0.5000
3 Se 0.5000 0.5000 0.0000
4 N 0.0000 0.5000 0.5000
5 N 0.5000 0.0000 0.5000

Crystal system ... tetragonal
Polymorph energy (0 for the lowest one) ... 0.000 eV per atom

10.
A plane-wave DFT calculation with PBE was carried out for RbZrSe2N after structural relaxation.

Cell lengths 5.4276, 5.4276, 4.3386 Å; angles 90.00, 90.00, 90.00 degrees
Positions (direct):
1 Rb 0.0000 0.0000 0.0000
2 Zr 0.5000 0.5000 0.5000
3 Se 0.0000 0.5000 0.5000
4 Se 0.5000 0.0000 0.5000
5 N 0.5000 0.5000 0.0000

Crystal system ... tetragonal
Polymorph energy (0 for the lowest one) ... 0.000 eV per atom

11.
A plane-wave DFT calculation with PBE was carried out for RbZrSe2N after structural relaxation.

Cell lengths 5.4908, 5.4908, 4.1249 Å; angles 90.00, 90.00, 90.00 degrees
Positions (direct):
1 Rb 0.0000 0.0000 0.0000
2 Zr 0.5000 0.5000 0.5000
3 Se 0.0000 0.5000 0.0000
4 Se 0.5000 0.0000 0.0000
5 N 0.0000 0.0000 0.5000

Crystal system ... tetragonal
Polymorph energy (0 for the lowest one) ... 2.177 eV per atom

12.
A plane-wave DFT calculation with PBE was carried out for RbZrSeN2 after structural relaxation.

Cell lengths 4.2473, 4.2473, 5.8047 Å; angles 90.00, 90.00, 90.00 degrees
Positions (direct):
1 Rb 0.0000 0.0000 0.0000
2 Zr 0.5000 0.5000 0.5000
3 Se 0.0000 0.0000 0.5000
4 N 0.0000 0.5000 0.0000
5 N 0.5000 0.0000 0.0000

Crystal system ... tetragonal
Polymorph energy (0 for the lowest one) ... 2.099 eV per atom

no.,volume (Å³/cell),theoretical density (g/cm³),DFT total energy (eV/atom)
1,118,6.20,-2.984
2,150,3.83,-5.015
3,141,4.08,-3.618
4,126,4.25,-3.073
5,247,2.17,-1.936
6,105,4.06,-3.316
7,186,2.30,-2.322
8,162,3.31,-2.770
9,108,4.35,-5.960
10,128,4.53,-5.558
11,124,4.65,-3.381
12,105,4.50,-3.861